RbSn3W: relaxed, GGA-PBE.

a = 5.697 Å, b = 5.697 Å, c = 5.697 Å
α = 90.00°, β = 90.00°, γ = 90.00°
Space group Pm-3m (No. 221)
Inequivalent atoms, fractional coordinates:
Rb: 0.000 0.000 0.000 [1 per cell]
Sn: 0.000 0.000 0.500 [3 per cell]
W: 0.500 0.500 0.500 [1 per cell]

Calculated values
ΔH_f (0 K) = 2.669 eV per atom
Total magnetic moment = 0.60 μB/cell
E_tot = -12.6 eV/cell

---

Rb3SnW: relaxed, GGA-PBE.

a = 7.022 Å, b = 7.022 Å, c = 7.022 Å
α = 90.00°, β = 90.00°, γ = 90.00°
Space group Pm-3m (No. 221)
Inequivalent atoms, fractional coordinates:
Rb: 0.000 0.000 0.500 [3 per cell]
Sn: 0.000 0.000 0.000 [1 per cell]
W: 0.500 0.500 0.500 [1 per cell]

Calculated values
ΔH_f (0 K) = 1.493 eV per atom
Total magnetic moment = 7.00 μB/cell
E_tot = -12.4 eV/cell

---

RbSn3W: relaxed, GGA-PBE.

a = 5.361 Å, b = 5.361 Å, c = 5.361 Å
α = 90.00°, β = 90.00°, γ = 90.00°
Space group Pm-3m (No. 221)
Inequivalent atoms, fractional coordinates:
Rb: 0.000 0.000 0.000 [1 per cell]
Sn: 0.000 0.500 0.500 [3 per cell]
W: 0.500 0.500 0.500 [1 per cell]

Calculated values
ΔH_f (0 K) = 0.184 eV per atom
Total magnetic moment = 0.00 μB/cell
E_tot = -25.0 eV/cell

---

RbSnW3: relaxed, GGA-PBE.

a = 5.112 Å, b = 5.112 Å, c = 5.112 Å
α = 90.00°, β = 90.00°, γ = 90.00°
Space group Pm-3m (No. 221)
Inequivalent atoms, fractional coordinates:
Rb: 0.000 0.000 0.000 [1 per cell]
Sn: 0.500 0.500 0.500 [1 per cell]
W: 0.000 0.500 0.500 [3 per cell]

Calculated values
ΔH_f (0 K) = 2.890 eV per atom
Total magnetic moment = 1.81 μB/cell
E_tot = -29.4 eV/cell

---

Rb2SnW: relaxed, GGA-PBE.

a = 13.709 Å, b = 13.709 Å, c = 5.301 Å
α = 90.00°, β = 90.00°, γ = 90.00°
Space group I-42d (No. 122)
Inequivalent atoms, fractional coordinates:
Rb: 0.049 0.750 0.125 [8 per cell]
Sn: 0.000 0.000 0.500 [4 per cell]
W: 0.000 0.000 0.000 [4 per cell]

Calculated values
ΔH_f (0 K) = 1.149 eV per atom
Total magnetic moment = 11.62 μB/cell
E_tot = -57.2 eV/cell

---

RbSnW2: relaxed, GGA-PBE.

a = 8.384 Å, b = 8.384 Å, c = 5.609 Å
α = 90.00°, β = 90.00°, γ = 90.00°
Space group I-42d (No. 122)
Inequivalent atoms, fractional coordinates:
Rb: 0.000 0.000 0.000 [4 per cell]
Sn: 0.000 0.000 0.500 [4 per cell]
W: 0.201 0.750 0.625 [8 per cell]

Calculated values
ΔH_f (0 K) = 2.162 eV per atom
Total magnetic moment = 0.00 μB/cell
E_tot = -88.9 eV/cell

---

RbSnW3: relaxed, GGA-PBE.

a = 4.776 Å, b = 4.776 Å, c = 4.776 Å
α = 90.00°, β = 90.00°, γ = 90.00°
Space group Pm-3m (No. 221)
Inequivalent atoms, fractional coordinates:
Rb: 0.000 0.000 0.000 [1 per cell]
Sn: 0.500 0.500 0.500 [1 per cell]
W: 0.000 0.000 0.500 [3 per cell]

Calculated values
ΔH_f (0 K) = 3.792 eV per atom
Total magnetic moment = 0.00 μB/cell
E_tot = -24.9 eV/cell

---

RbYSn: relaxed, GGA-PBE.

a = 5.8006 Å, b = 5.8006 Å, c = 6.7053 Å
α = 90.00°, β = 90.00°, γ = 120.00°
Space group P6_3/mmc (No. 194)
Inequivalent atoms, fractional coordinates:
Rb: 0.0000 0.0000 0.0000 [2 per cell]
Y: 0.3333 0.6667 0.2500 [2 per cell]
Sn: 0.3333 0.6667 0.7500 [2 per cell]

Calculated values
ΔH_f (0 K) = -0.180 eV per atom
Total magnetic moment = 0.00 μB/cell
E_tot = -23.9 eV/cell